# TcTe2Rh | Alexandria | meta-GGA SCAN | single point on PBEsol structure
# - spin magnetization (μB per formula unit) = 0.0
# - calculated density (g/cm3) = 9.5
# - E above lowest polymorph (eV per atom) = 0.129
# - V (Å³/cell) = 80
# - uncorrected formation energy (eV/atom) = 0.314
data_TcTe2Rh
_chemical_formula_sum 'Tc1 Te2 Rh1'
_cell_length_a 3.249
_cell_length_b 3.249
_cell_length_c 8.966
_cell_angle_alpha 79.56
_cell_angle_beta 79.56
_cell_angle_gamma 60.00
_space_group_name_H-M_alt 'P 1'
_space_group_IT_number 1
loop_
_space_group_symop_operation_xyz
'x,y,z'
loop_
_atom_site_label
_atom_site_type_symbol
_atom_site_fract_x
_atom_site_fract_y
_atom_site_fract_z
_atom_site_occupancy
Te1 Te 0.094 0.094 0.717 1
Te2 Te 0.906 0.906 0.283 1
Rh1 Rh 0.000 0.000 0.000 1
Tc1 Tc 0.500 0.500 0.500 1

# TcTe2Rh | Alexandria | meta-GGA SCAN | single point on PBEsol structure
# - spin magnetization (μB per formula unit) = 0.0
# - calculated density (g/cm3) = 10.7
# - E above lowest polymorph (eV per atom) = 0.000
# - V (Å³/cell) = 71
# - uncorrected formation energy (eV/atom) = 0.186
data_TcTe2Rh
_chemical_formula_sum 'Tc1 Te2 Rh1'
_cell_length_a 3.303
_cell_length_b 3.303
_cell_length_c 6.514
_cell_angle_alpha 90.00
_cell_angle_beta 90.00
_cell_angle_gamma 90.00
_space_group_name_H-M_alt 'P 1'
_space_group_IT_number 1
loop_
_space_group_symop_operation_xyz
'x,y,z'
loop_
_atom_site_label
_atom_site_type_symbol
_atom_site_fract_x
_atom_site_fract_y
_atom_site_fract_z
_atom_site_occupancy
Rh1 Rh 0.500 0.500 0.000 1
Tc1 Tc 0.500 0.500 0.500 1
Te1 Te 0.000 0.000 0.251 1
Te2 Te 0.000 0.000 0.749 1

# TcTe3Rh | Alexandria | meta-GGA SCAN | single point on PBEsol structure
# - spin magnetization (μB per formula unit) = 3.3
# - calculated density (g/cm3) = 7.3
# - V (Å³/cell) = 132
# - uncorrected formation energy (eV/atom) = 0.865
data_TcTe3Rh
_chemical_formula_sum 'Tc1 Te3 Rh1'
_cell_length_a 5.097
_cell_length_b 5.097
_cell_length_c 5.097
_cell_angle_alpha 90.00
_cell_angle_beta 90.00
_cell_angle_gamma 90.00
_space_group_name_H-M_alt 'P 1'
_space_group_IT_number 1
loop_
_space_group_symop_operation_xyz
'x,y,z'
loop_
_atom_site_label
_atom_site_type_symbol
_atom_site_fract_x
_atom_site_fract_y
_atom_site_fract_z
_atom_site_occupancy
Rh1 Rh 0.000 0.000 0.000 1
Te1 Te 0.500 0.000 0.000 1
Te2 Te 0.000 0.500 0.000 1
Te3 Te 0.000 0.000 0.500 1
Tc1 Tc 0.500 0.500 0.500 1